Entry 1:
A relaxed structure of ErHgPd, computed with GGA-PBE.

Output
Total energy: -3.943 eV/atom
Calculated formation energy: -0.590 eV per atom
Fermi-level density of states: 0.737 states/eV per atom

Unit cell a=3.4050 b=4.7107 c=4.7107 alpha=120.00 beta=90.00 gamma=90.00
With the nearest neighbours (Å) after each atom.
Sites, in units of the cell vectors:
Pd (0.1672, 0.3333, 0.6667)  3 Hg 2.72
Er (0.6665, 0.6667, 0.3333)  6 Pd 3.21, 6 Hg 3.21, 2 Er 3.40
Hg (0.1663, 0.0000, 0.0000)  3 Pd 2.72

Entry 2:
A relaxed structure of Er4HgPd2, computed with GGA-PBE.

Output
Total energy: -4.652 eV/atom
Calculated formation energy: -0.518 eV per atom
Fermi-level density of states: 0.965 states/eV per atom

Unit cell a=4.6471 b=4.6471 c=10.1813 alpha=76.81 beta=76.81 gamma=60.00
With the nearest neighbours (Å) after each atom.
Sites, in units of the cell vectors:
Pd (0.9001, 0.9001, 0.2997)  7 Er 2.84-3.03, 1 Hg 2.94
Hg (0.0000, 0.0000, 0.0000)  2 Pd 2.94, 6 Er 3.09
Er (0.2018, 0.2018, 0.3945)  4 Pd 2.84-3.00
Er (0.6147, 0.6147, 0.1560)  3 Pd 3.03, 3 Hg 3.09
Pd (0.0999, 0.0999, 0.7003)  7 Er 2.84-3.03, 1 Hg 2.94
Er (0.7982, 0.7982, 0.6055)  4 Pd 2.84-3.00
Er (0.3853, 0.3853, 0.8440)  3 Pd 3.03, 3 Hg 3.09

Entry 3:
A relaxed structure of ErHg2Pd6, computed with GGA-PBE.

Output
Total energy: -4.456 eV/atom
Calculated formation energy: -0.420 eV per atom
Fermi-level density of states: 0.381 states/eV per atom

Unit cell a=4.2240 b=5.0009 c=8.7374 alpha=71.45 beta=76.01 gamma=65.02
With the nearest neighbours (Å) after each atom.
Sites, in units of the cell vectors:
Pd (0.6571, 0.0707, 0.6152)  5 Pd 2.84-3.05, 3 Er 2.88-2.98, 4 Hg 2.90-3.00
Hg (0.3120, 0.6369, 0.7390)  10 Pd 2.79-3.00, 2 Er 3.09
Er (0.0000, 0.5000, 0.5000)  8 Pd 2.85-2.98, 4 Hg 3.09
Pd (0.3429, 0.9293, 0.3848)  5 Pd 2.84-3.05, 3 Er 2.88-2.98, 4 Hg 2.90-3.00
Pd (0.3423, 0.2620, 0.0534)  9 Pd 2.74-3.00, 3 Hg 2.79-2.86
Pd (0.9872, 0.1899, 0.8356)  3 Hg 2.82-2.90, 1 Er 2.85, 8 Pd 2.86-2.96
Pd (0.6577, 0.7380, 0.9466)  9 Pd 2.74-3.00, 3 Hg 2.79-2.86
Pd (0.0128, 0.8101, 0.1644)  3 Hg 2.82-2.90, 1 Er 2.85, 8 Pd 2.86-2.96
Hg (0.6880, 0.3631, 0.2610)  10 Pd 2.79-3.00, 2 Er 3.09

Entry 4:
A relaxed structure of Er7HgPd4, computed with GGA-PBE.

Output
Total energy: -4.905 eV/atom
Calculated formation energy: -0.487 eV per atom
Fermi-level density of states: 0.832 states/eV per atom

Unit cell a=5.4888 b=8.3552 c=7.4787 alpha=74.03 beta=68.47 gamma=70.82
With the nearest neighbours (Å) after each atom.
Sites, in units of the cell vectors:
Er (0.7851, 0.8811, 0.5487)  4 Pd 2.94-3.23, 1 Er 3.19
Er (0.5000, 0.0000, 0.0000)  2 Hg 2.74, 4 Pd 2.82-2.83
Pd (0.2986, 0.3451, 0.0577)  6 Er 2.75-3.05
Pd (0.7014, 0.6549, 0.9423)  6 Er 2.75-3.05
Pd (0.5649, 0.2312, 0.6390)  3 Er 2.73-2.94
Er (0.0667, 0.6272, 0.2394)  1 Pd 2.75
Pd (0.4351, 0.7688, 0.3610)  3 Er 2.73-2.94
Er (0.9333, 0.3728, 0.7606)  1 Pd 2.75
Er (0.2149, 0.1189, 0.4513)  4 Pd 2.94-3.23, 1 Er 3.19
Er (0.3005, 0.6460, 0.7530)  4 Pd 2.73-3.05
Er (0.6995, 0.3540, 0.2470)  4 Pd 2.73-3.05
Hg (0.0000, 0.0000, 0.0000)  2 Er 2.74

Entry 5:
A relaxed structure of ErHgPd, computed with GGA-PBE.

Output
Total energy: -4.055 eV/atom
Calculated formation energy: -0.702 eV per atom
Fermi-level density of states: 0.354 states/eV per atom

Unit cell a=3.6884 b=3.6884 c=5.3053 alpha=110.34 beta=110.34 gamma=90.00
With the nearest neighbours (Å) after each atom.
Sites, in units of the cell vectors:
Er (0.9423, 0.9423, 0.8846)  5 Pd 2.97-3.20, 5 Hg 2.99-3.08
Hg (0.6190, 0.6190, 0.2380)  5 Er 2.99-3.08, 5 Pd 3.04-3.05
Pd (0.2887, 0.2887, 0.5774)  5 Er 2.97-3.20, 5 Hg 3.04-3.05

Entry 6:
A relaxed structure of Er3HgPd12, computed with GGA-PBE.

Output
Total energy: -5.470 eV/atom
Calculated formation energy: -0.701 eV per atom
Fermi-level density of states: 0.979 states/eV per atom

Unit cell a=4.0830 b=4.0830 c=16.4629 alpha=90.00 beta=90.00 gamma=90.00
With the nearest neighbours (Å) after each atom.
Sites, in units of the cell vectors:
Pd (0.5000, 0.5000, 0.7497)  4 Er 2.89, 8 Pd 2.89-2.90
Pd (0.5000, 0.0000, 0.3749)  8 Pd 2.89-2.90, 4 Er 2.90-2.92
Pd (0.0000, 0.5000, 0.1248)  2 Er 2.88, 8 Pd 2.89-2.90, 2 Hg 2.90
Er (0.0000, 0.0000, 0.5000)  12 Pd 2.89-2.90
Hg (0.0000, 0.0000, 0.0000)  12 Pd 2.89-2.90
Pd (0.0000, 0.5000, 0.6251)  8 Pd 2.89-2.90, 4 Er 2.90-2.92
Er (0.0000, 0.0000, 0.2482)  12 Pd 2.88-2.92
Er (0.0000, 0.0000, 0.7518)  12 Pd 2.88-2.92
Pd (0.0000, 0.5000, 0.3749)  8 Pd 2.89-2.90, 4 Er 2.90-2.92
Pd (0.5000, 0.0000, 0.8752)  2 Er 2.88, 8 Pd 2.89-2.90, 2 Hg 2.90
Pd (0.5000, 0.5000, 0.2503)  4 Er 2.89, 8 Pd 2.89-2.90
Pd (0.5000, 0.5000, 0.5000)  4 Er 2.89, 8 Pd 2.90
Pd (0.5000, 0.0000, 0.6251)  8 Pd 2.89-2.90, 4 Er 2.90-2.92
Pd (0.0000, 0.5000, 0.8752)  2 Er 2.88, 8 Pd 2.89-2.90, 2 Hg 2.90
Pd (0.5000, 0.0000, 0.1248)  2 Er 2.88, 8 Pd 2.89-2.90, 2 Hg 2.90
Pd (0.5000, 0.5000, 0.0000)  4 Hg 2.89, 8 Pd 2.90

Entry 7:
A relaxed structure of ErHg3Pd7, computed with GGA-PBE.

Output
Total energy: -3.983 eV/atom
Calculated formation energy: -0.181 eV per atom
Fermi-level density of states: 0.464 states/eV per atom

Unit cell a=5.3612 b=7.2503 c=7.2503 alpha=82.29 beta=118.85 gamma=118.85
With the nearest neighbours (Å) after each atom.
Sites, in units of the cell vectors:
Pd (0.6166, 0.7869, 0.7869)  5 Pd 2.73-2.96, 3 Hg 2.77-2.79, 1 Er 2.77
Hg (0.0000, 0.7833, 0.2167)  7 Pd 2.70-2.81
Pd (0.6738, 0.9325, 0.4190)  4 Pd 2.76-3.01, 3 Hg 2.77-2.81, 1 Er 2.87
Pd (0.3262, 0.5810, 0.0675)  4 Pd 2.76-3.01, 3 Hg 2.77-2.81, 1 Er 2.87
Pd (0.3834, 0.2131, 0.2131)  5 Pd 2.73-2.96, 3 Hg 2.77-2.79, 1 Er 2.77
Pd (0.0000, 0.5000, 0.5000)  2 Er 2.68, 2 Hg 2.70, 2 Pd 2.73
Hg (0.0000, 0.2167, 0.7833)  7 Pd 2.70-2.81
Pd (0.6738, 0.4190, 0.9325)  4 Pd 2.76-3.01, 3 Hg 2.77-2.81, 1 Er 2.87
Hg (0.5000, 0.0000, 0.0000)  6 Pd 2.77
Pd (0.3262, 0.0675, 0.5810)  4 Pd 2.76-3.01, 3 Hg 2.77-2.81, 1 Er 2.87
Er (0.5000, 0.5000, 0.5000)  8 Pd 2.68-2.87

Entry 8:
A relaxed structure of Er3HgPd6, computed with GGA-PBE.

Output
Total energy: -5.208 eV/atom
Calculated formation energy: -0.693 eV per atom
Fermi-level density of states: 0.392 states/eV per atom

Unit cell a=4.4271 b=9.9564 c=9.9564 alpha=113.15 beta=90.00 gamma=90.00
With the nearest neighbours (Å) after each atom.
Sites, in units of the cell vectors:
Pd (0.4985, 0.6199, 0.7194)  4 Pd 2.69-2.96, 5 Er 2.96-2.97
Pd (0.4985, 0.0529, 0.4618)  4 Pd 2.67-2.69, 1 Hg 2.82, 2 Er 2.94
Pd (0.4985, 0.2806, 0.3801)  4 Pd 2.69-2.96, 5 Er 2.96-2.97
Pd (0.4985, 0.5382, 0.9471)  4 Pd 2.67-2.69, 1 Hg 2.82, 2 Er 2.94
Pd (0.9985, 0.4618, 0.0529)  4 Pd 2.67-2.69, 1 Hg 2.82, 2 Er 2.94
Er (0.4985, 0.9344, 0.7266)  9 Pd 2.94-3.28
Hg (0.9986, 0.2106, 0.7894)  5 Pd 2.74-2.82
Pd (0.9985, 0.3801, 0.2806)  4 Pd 2.69-2.96, 5 Er 2.96-2.97
Er (0.9985, 0.7266, 0.9344)  9 Pd 2.94-3.28
Er (0.4986, 0.5892, 0.4108)  8 Pd 2.76-2.97
Er (0.9986, 0.4108, 0.5892)  8 Pd 2.76-2.97
Pd (0.9985, 0.0457, 0.9543)  2 Pd 2.68, 1 Hg 2.74
Pd (0.4985, 0.3114, 0.6886)  4 Pd 2.67-2.96, 2 Er 2.76, 2 Hg 2.78
Hg (0.4986, 0.7894, 0.2106)  5 Pd 2.74-2.82
Er (0.4985, 0.2734, 0.0656)  9 Pd 2.94-3.28
Pd (0.9985, 0.7194, 0.6199)  4 Pd 2.69-2.96, 5 Er 2.96-2.97
Er (0.9985, 0.0656, 0.2734)  9 Pd 2.94-3.28
Pd (0.9985, 0.9471, 0.5382)  4 Pd 2.67-2.69, 1 Hg 2.82, 2 Er 2.94
Pd (0.9985, 0.6886, 0.3114)  4 Pd 2.67-2.96, 2 Er 2.76, 2 Hg 2.78
Pd (0.4985, 0.9543, 0.0457)  2 Pd 2.68, 1 Hg 2.74

Entry 9:
A relaxed structure of Er2Hg2Pd7, computed with GGA-PBE.

Output
Total energy: -4.647 eV/atom
Calculated formation energy: -0.458 eV per atom
Fermi-level density of states: 0.455 states/eV per atom

Unit cell a=4.7728 b=6.7309 c=6.7309 alpha=80.96 beta=96.25 gamma=96.25
With the nearest neighbours (Å) after each atom.
Sites, in units of the cell vectors:
Pd (0.7277, 0.4427, 0.4427)  4 Pd 2.61-2.76, 1 Hg 2.79, 2 Er 2.80
Er (0.0000, 0.2192, 0.7808)  6 Pd 2.76-3.06
Pd (0.2733, 0.9552, 0.6104)  5 Pd 2.72-3.01, 1 Er 2.76, 3 Hg 2.81-2.91
Pd (0.7267, 0.3896, 0.0448)  5 Pd 2.72-3.01, 1 Er 2.76, 3 Hg 2.81-2.91
Pd (0.7267, 0.0448, 0.3896)  5 Pd 2.72-3.01, 1 Er 2.76, 3 Hg 2.81-2.91
Pd (0.2723, 0.5573, 0.5573)  4 Pd 2.61-2.76, 1 Hg 2.79, 2 Er 2.80
Pd (0.5000, 0.0000, 0.0000)  4 Pd 2.77, 4 Er 3.06
Pd (0.2733, 0.6104, 0.9552)  5 Pd 2.72-3.01, 1 Er 2.76, 3 Hg 2.81-2.91
Hg (0.7716, 0.7356, 0.7356)  8 Pd 2.79-2.98
Hg (0.2284, 0.2644, 0.2644)  8 Pd 2.79-2.98
Er (0.0000, 0.7808, 0.2192)  6 Pd 2.76-3.06

Entry 10:
A relaxed structure of Er2HgPd, computed with GGA-PBE.

Output
Total energy: -4.208 eV/atom
Calculated formation energy: -0.553 eV per atom
Fermi-level density of states: 0.911 states/eV per atom

Unit cell a=4.0035 b=4.0035 c=7.8682 alpha=75.26 beta=75.26 gamma=60.00
With the nearest neighbours (Å) after each atom.
Sites, in units of the cell vectors:
Er (0.2623, 0.2623, 0.2131)  3 Pd 2.80
Pd (0.6655, 0.6655, 0.0036)  6 Er 2.80-2.83
Hg (0.5007, 0.5007, 0.4978)  6 Er 3.15-3.17
Er (0.0715, 0.0715, 0.7855)  3 Pd 2.83, 3 Hg 3.17

> Number 2 is which compound?

Er4HgPd2